(1)
Density functional theory data (PBE-GGA) for crystalline SrAc9Pm2 at its relaxed geometry.

Lattice parameters (Å, degrees): 5.5822 5.5822 16.7930 90.00 90.00 90.00
Space group P4/mmm (No. 123)
Inequivalent atoms, fractional coordinates:
Sr  0.0000  0.0000  0.0000 [1 per cell]
Ac  0.0000  0.5000  0.1751 [4 per cell]
Ac  0.0000  0.5000  0.5000 [2 per cell]
Ac  0.5000  0.5000  0.0000 [1 per cell]
Ac  0.5000  0.5000  0.3370 [2 per cell]
Pm  0.0000  0.0000  0.3352 [2 per cell]

Energy of formation from the pure elements   0.04 eV/atom
E_tot   -47.702 eV for the cell shown

---

(2)
Density functional theory data (PBE-GGA) for crystalline LiZrIn at its relaxed geometry.

Lattice parameters (Å, degrees): 3.1243 15.8720 5.1481 90.00 90.00 90.00
Space group Amm2 (No. 38)
Inequivalent atoms, fractional coordinates:
Li  0.0000  0.0000  0.0000 [2 per cell]
Li  0.5000  0.0000  0.4793 [2 per cell]
Zr  0.0000  0.1844  0.3662 [4 per cell]
In  0.5000  0.1422  0.8639 [4 per cell]

Energy relative to the lowest polymorph listed for this composition   56.6 meV/atom
Energy of formation from the pure elements   -0.17 eV/atom
E_tot   -54.797 eV for the cell shown

---

(3)
Density functional theory data (PBE-GGA) for crystalline Li2CaMg2Cd2 at its relaxed geometry.

Lattice parameters (Å, degrees): 8.7201 4.9896 7.8813 90.00 110.88 90.00
Space group C2/m (No. 12)
Inequivalent atoms, fractional coordinates:
Li  0.1460  0.0000  0.4408 [4 per cell]
Ca  0.0000  0.0000  0.0000 [2 per cell]
Mg  0.0742  0.5000  0.7195 [4 per cell]
Cd  0.2291  0.5000  0.1912 [4 per cell]

Energy of formation from the pure elements   -0.19 eV/atom
E_tot   -24.309 eV for the cell shown